1.
## CsRb2TlCd (PBE)

Data for crystalline CsRb2TlCd at its relaxed geometry.

Output
The value obtained for the total DFT energy (no corrections) is -5.875 eV for the cell shown. The formation energy comes out at 39 meV/atom. The value obtained for the magnetization is 0.0 Bohr magnetons per cell. The calculation puts the energy above the most stable polymorph in this dataset at 0.000 eV/atom.

Unit cell a=7.2692 b=7.2692 c=5.8705 alpha=90.00 beta=90.00 gamma=90.00
Last column: nearest neighbours and their distance in Å.
Space group P4/mmm (No. 123)
Asymmetric unit:
Cs1 0.0000 0.0000 0.0000 (multiplicity 1)  8 Rb 4.67, 4 Tl 5.14
Rb1 0.0000 0.5000 0.5000 (multiplicity 2)  2 Cd 3.63
Tl1 0.5000 0.5000 0.0000 (multiplicity 1)  2 Cd 2.94
Cd1 0.5000 0.5000 0.5000 (multiplicity 1)  2 Tl 2.94


2.
## ZrOsN2O (PBE)

Data for crystalline ZrOsN2O at its relaxed geometry.

Output
The value obtained for the total DFT energy (no corrections) is -42.104 eV for the cell shown. For the formation energy without anion corrections, the calculation gives -13.83 kJ/mol of atoms. The value obtained for the magnetization is 0.0 Bohr magnetons per cell.

Unit cell a=3.8536 b=3.8536 c=3.9411 alpha=90.00 beta=90.00 gamma=90.00
Last column: nearest neighbours and their distance in Å.
Space group P4/mmm (No. 123)
Asymmetric unit:
Zr1 0.0000 0.0000 0.0000 (multiplicity 1)  4 O 2.72, 8 N 2.76
Os1 0.5000 0.5000 0.5000 (multiplicity 1)  4 N 1.93, 2 O 1.97
N1 0.0000 0.5000 0.5000 (multiplicity 2)  2 Os 1.93
O1 0.5000 0.5000 0.0000 (multiplicity 1)  2 Os 1.97


3.
## CaZn2SnSe (PBE)

Data for crystalline CaZn2SnSe at its relaxed geometry.

Output
The value obtained for the total DFT energy (no corrections) is -12.492 eV for the cell shown. For the formation energy without anion corrections, the calculation gives -8.79 kJ/mol of atoms. The value obtained for the magnetization is 0.0 Bohr magnetons per cell.

Unit cell a=4.9806 b=4.9806 c=5.4108 alpha=90.00 beta=90.00 gamma=90.00
Last column: nearest neighbours and their distance in Å.
Space group P4/mmm (No. 123)
Asymmetric unit:
Ca1 0.0000 0.0000 0.0000 (multiplicity 1)  2 Se 2.71
Zn1 0.0000 0.5000 0.5000 (multiplicity 2)  2 Se 2.49
Sn1 0.5000 0.5000 0.0000 (multiplicity 1)  4 Ca 3.52, 8 Zn 3.68
Se1 0.0000 0.0000 0.5000 (multiplicity 1)  4 Zn 2.49, 2 Ca 2.71


4.
## Mg2TeMo (PBE)

Data for crystalline Mg2TeMo at its relaxed geometry.

Output
The value obtained for the total DFT energy (no corrections) is -31.484 eV for the cell shown. For the formation energy without anion corrections, the calculation gives 34.25 kJ/mol of atoms. The value obtained for the magnetization is 0.1 Bohr magnetons per cell.

Unit cell a=3.5213 b=5.2000 c=9.5198 alpha=90.00 beta=90.00 gamma=90.00
Last column: nearest neighbours and their distance in Å.
Space group Cmm2 (No. 35)
Asymmetric unit:
Mg1 0.0000 0.0000 0.0000 (multiplicity 2)  6 Mg 3.07-3.14, 2 Te 3.29
Mg2 0.0000 0.5000 0.2638 (multiplicity 2)  2 Mo 2.80, 6 Mg 3.07-3.14
Te1 0.0000 0.5000 0.7080 (multiplicity 2)  2 Mo 2.70
Mo1 0.0000 0.0000 0.4931 (multiplicity 2)  2 Te 2.70, 2 Mg 2.80


5.
## CdNi2Se (PBE)

Data for crystalline CdNi2Se at its relaxed geometry.

Output
The value obtained for the total DFT energy (no corrections) is -31.124 eV for the cell shown. For the formation energy without anion corrections, the calculation gives 9.66 kJ/mol of atoms. The value obtained for the magnetization is 0.0 Bohr magnetons per cell. The calculation puts the energy above the most stable polymorph in this dataset at 0.135 eV/atom.

Unit cell a=7.4216 b=3.1502 c=5.6367 alpha=90.00 beta=103.62 gamma=90.00
Last column: nearest neighbours and their distance in Å.
Space group C2/m (No. 12)
Asymmetric unit:
Cd1 0.0000 0.0000 0.0000 (multiplicity 2)  6 Ni 2.76-2.79
Ni1 0.2421 0.0000 0.6894 (multiplicity 4)  3 Se 2.40-2.44, 2 Ni 2.68
Se1 0.0000 0.5000 0.5000 (multiplicity 2)  6 Ni 2.40-2.44


Q: The highest magnetization belongs to which entry?
A: Mg2TeMo


Q: The highest total DFT energy (no corrections) belongs to which entry?
A: CsRb2TlCd


Q: magnetization of number 2 (ZrOsN2O)?
A: 0.0 Bohr magnetons per cell


Q: Which formula does entry 5 have?
A: CdNi2Se